Record 1
# GGA-PBE NbB, optimized geometry
data_NbB
_chemical_formula_sum 'Nb6 B6'
_space_group_name_H-M_alt 'A m m 2'
_space_group_IT_number 38
_space_group_name_Hall 'A 2 -2'
_cell_length_a 3.166
_cell_length_b 7.271
_cell_length_c 6.214
_cell_angle_alpha 90.00
_cell_angle_beta 90.00
_cell_angle_gamma 90.00
loop_
_atom_site_label
_atom_site_type_symbol
_atom_site_fract_x
_atom_site_fract_y
_atom_site_fract_z
_atom_site_occupancy
Nb1 Nb 0.000 0.000 0.000 1
Nb2 Nb 0.500 0.191 0.356 1
B1 B 0.000 0.143 0.648 1
B2 B 0.500 0.000 0.684 1
# N(E_F)	0.86	states/eV/f.u.
# density	7.22	g/cm3
# energy of formation from the pure elements	-333	meV per atom

Record 2
# GGA-PBE CdCoBr2, optimized geometry
data_CdCoBr2
_chemical_formula_sum 'Cd1 Co1 Br2'
_space_group_name_H-M_alt 'P 1 2/m 1'
_space_group_IT_number 10
_space_group_name_Hall '-P 2y'
_cell_length_a 3.805
_cell_length_b 3.479
_cell_length_c 9.384
_cell_angle_alpha 90.00
_cell_angle_beta 96.12
_cell_angle_gamma 90.00
loop_
_atom_site_label
_atom_site_type_symbol
_atom_site_fract_x
_atom_site_fract_y
_atom_site_fract_z
_atom_site_occupancy
Cd1 Cd 0.000 0.000 0.000 1
Co1 Co 0.500 0.000 0.500 1
Br1 Br 0.424 0.500 0.676 1
# N(E_F)	3.56	states/eV/f.u.
# density	4.45	g/cm3
# raw formation energy	0.01	eV/atom
# excess energy over the best structure of this formula in the dataset	54	kJ/mol of formula units

Record 3
# GGA-PBE MgSc4Al2, optimized geometry
data_MgSc4Al2
_chemical_formula_sum 'Mg3 Sc12 Al6'
_space_group_name_H-M_alt 'R -3 m'
_space_group_IT_number 166
_space_group_name_Hall '-R 3 2"'
_cell_length_a 4.8352
_cell_length_b 4.8352
_cell_length_c 22.9758
_cell_angle_alpha 90.00
_cell_angle_beta 90.00
_cell_angle_gamma 120.00
loop_
_atom_site_label
_atom_site_type_symbol
_atom_site_fract_x
_atom_site_fract_y
_atom_site_fract_z
_atom_site_occupancy
Mg1 Mg 0.0000 0.0000 0.0000 1
Sc1 Sc 0.0000 0.0000 0.1331 1
Sc2 Sc 0.0000 0.0000 0.3897 1
Al1 Al 0.0000 0.0000 0.2577 1
# N(E_F)	6.40	states/eV/f.u.
# density	2.76	g/cm3
# energy of formation from the pure elements	-200	meV per atom
# excess energy over the best structure of this formula in the dataset	0	kJ/mol of formula units

Record 4
# GGA-PBE CsInSn2, optimized geometry
data_CsInSn2
_chemical_formula_sum 'Cs4 In4 Sn8'
_space_group_name_H-M_alt 'C m c m'
_space_group_IT_number 63
_space_group_name_Hall '-C 2c 2'
_cell_length_a 5.544
_cell_length_b 20.109
_cell_length_c 6.197
_cell_angle_alpha 90.00
_cell_angle_beta 90.00
_cell_angle_gamma 90.00
loop_
_atom_site_label
_atom_site_type_symbol
_atom_site_fract_x
_atom_site_fract_y
_atom_site_fract_z
_atom_site_occupancy
Cs1 Cs 0.000 0.161 0.250 1
In1 In 0.000 0.368 0.250 1
Sn1 Sn 0.000 0.040 0.750 1
Sn2 Sn 0.000 0.500 0.000 1
# N(E_F)	1.55	states/eV/f.u.
# density	4.66	g/cm3
# energy of formation from the pure elements	-84	meV per atom

Record 5
# GGA-PBE La4Ge2Pb, optimized geometry
data_La4Ge2Pb
_chemical_formula_sum 'La16 Ge8 Pb4'
_space_group_name_H-M_alt 'I m m a'
_space_group_IT_number 74
_space_group_name_Hall '-I 2b 2'
_cell_length_a 9.957
_cell_length_b 9.968
_cell_length_c 9.871
_cell_angle_alpha 90.00
_cell_angle_beta 90.00
_cell_angle_gamma 90.00
loop_
_atom_site_label
_atom_site_type_symbol
_atom_site_fract_x
_atom_site_fract_y
_atom_site_fract_z
_atom_site_occupancy
La1 La 0.000 0.073 0.202 1
La2 La 0.177 0.250 0.548 1
Ge1 Ge 0.000 0.000 0.500 1
Ge2 Ge 0.250 0.250 0.250 1
Pb1 Pb 0.000 0.250 0.875 1
# N(E_F)	2.09	states/eV/f.u.
# density	6.16	g/cm3
# energy of formation from the pure elements	-629	meV per atom

Record 6
# GGA-PBE SrMg2ZnRu, optimized geometry
data_SrMg2ZnRu
_chemical_formula_sum 'Sr1 Mg2 Zn1 Ru1'
_space_group_name_H-M_alt 'P 4/m m m'
_space_group_IT_number 123
_space_group_name_Hall '-P 4 2'
_cell_length_a 4.986
_cell_length_b 4.986
_cell_length_c 4.958
_cell_angle_alpha 90.00
_cell_angle_beta 90.00
_cell_angle_gamma 90.00
loop_
_atom_site_label
_atom_site_type_symbol
_atom_site_fract_x
_atom_site_fract_y
_atom_site_fract_z
_atom_site_occupancy
Sr1 Sr 0.000 0.000 0.000 1
Mg1 Mg 0.000 0.500 0.500 1
Zn1 Zn 0.500 0.500 0.000 1
Ru1 Ru 0.500 0.500 0.500 1
# N(E_F)	2.57	states/eV/f.u.
# density	4.08	g/cm3
# energy of formation from the pure elements	-17	meV per atom

Record 7
# GGA-PBE AgSI, optimized geometry
data_AgSI
_chemical_formula_sum 'Ag2 S2 I2'
_space_group_name_H-M_alt 'C 1 m 1'
_space_group_IT_number 8
_space_group_name_Hall 'C -2y'
_cell_length_a 7.500
_cell_length_b 4.330
_cell_length_c 5.509
_cell_angle_alpha 90.00
_cell_angle_beta 91.47
_cell_angle_gamma 90.00
loop_
_atom_site_label
_atom_site_type_symbol
_atom_site_fract_x
_atom_site_fract_y
_atom_site_fract_z
_atom_site_occupancy
Ag1 Ag 0.000 0.000 0.000 1
S1 S 0.167 0.500 0.998 1
I1 I 0.166 0.500 0.499 1
# N(E_F)	1.12	states/eV/f.u.
# density	4.95	g/cm3
# raw formation energy	0.11	eV/atom
# excess energy over the best structure of this formula in the dataset	36	kJ/mol of formula units

Record 8
# GGA-PBE YTcC, optimized geometry
data_YTcC
_chemical_formula_sum 'Y4 Tc4 C4'
_space_group_name_H-M_alt 'P b c m'
_space_group_IT_number 57
_space_group_name_Hall '-P 2c 2b'
_cell_length_a 5.042
_cell_length_b 5.939
_cell_length_c 5.901
_cell_angle_alpha 90.00
_cell_angle_beta 90.00
_cell_angle_gamma 90.00
loop_
_atom_site_label
_atom_site_type_symbol
_atom_site_fract_x
_atom_site_fract_y
_atom_site_fract_z
_atom_site_occupancy
Y1 Y 0.082 0.104 0.250 1
Tc1 Tc 0.427 0.750 0.000 1
C1 C 0.391 0.042 0.750 1
# N(E_F)	0.98	states/eV/f.u.
# density	7.48	g/cm3
# energy of formation from the pure elements	-19	meV per atom
# excess energy over the best structure of this formula in the dataset	48	kJ/mol of formula units